Computed, not measured: LiCu2Sb after structural relaxation at the GGA-PBEsol level of DFT.

Results
final energy	-3.9349	eV/atom
formation energy (no corrections)	-137	meV/atom
space-group type	I4/mmm, No. 139

The structure in CIF format:
```
data_LiCu2Sb
_chemical_formula_sum 'Li1 Cu2 Sb1'
_cell_length_a 4.148
_cell_length_b 4.493
_cell_length_c 4.148
_cell_angle_alpha 117.49
_cell_angle_beta 90.00
_cell_angle_gamma 117.49
_symmetry_space_group_name_H-M 'P 1'
_symmetry_Int_Tables_number 1
loop_
_symmetry_equiv_pos_as_xyz
'x,y,z'
loop_
_atom_site_label
_atom_site_fract_x
_atom_site_fract_y
_atom_site_fract_z
Sb1 0.000 0.000 0.000
Li1 0.500 0.000 0.500
Cu1 0.250 0.500 0.750
Cu2 0.750 0.500 0.250
```